Entry from Alexandria via LeMat-Bulk: a relaxed Tb4Nd2Y2Tm crystal (PBE).

E in eV for the cell shown: -45.461
Total moment in Bohr magnetons per cell: 0.00
Formation enthalpy at 0 K in eV per atom: 0.000
Space-group type: C2/m, No. 12

```
data_Tb4Nd2Y2Tm
_cell_length_a 3.616
_cell_length_b 9.546
_cell_length_c 9.603
_cell_angle_alpha 115.19
_cell_angle_beta 90.00
_cell_angle_gamma 100.92
_space_group_name_H-M_alt 'P 1'
_space_group_IT_number 1
loop_
_space_group_symop_operation_xyz
'x,y,z'
loop_
_atom_site_label
_atom_site_fract_x
_atom_site_fract_y
_atom_site_fract_z
Y1 0.147 0.293 0.663
Y2 0.853 0.707 0.337
Tm1 0.000 0.000 0.000
Tb1 0.185 0.370 0.335
Tb2 0.481 0.962 0.667
Tb3 0.815 0.630 0.665
Tb4 0.519 0.038 0.333
Nd1 0.665 0.330 0.000
Nd2 0.335 0.670 0.000
```

=====

Entry from Alexandria via LeMat-Bulk: a relaxed Tb2NdY3Tm6 crystal (PBE).

E in eV for the cell shown: -59.949
Total moment in Bohr magnetons per cell: 0.00
Formation enthalpy at 0 K in eV per atom: 0.025
Space-group type: C2/m, No. 12

```
data_Tb2NdY3Tm6
_cell_length_a 6.127
_cell_length_b 6.127
_cell_length_c 11.702
_cell_angle_alpha 95.00
_cell_angle_beta 95.00
_cell_angle_gamma 119.95
_space_group_name_H-M_alt 'P 1'
_space_group_IT_number 1
loop_
_space_group_symop_operation_xyz
'x,y,z'
loop_
_atom_site_label
_atom_site_fract_x
_atom_site_fract_y
_atom_site_fract_z
Tm1 0.916 0.582 0.750
Tm2 0.582 0.916 0.750
Tm3 0.084 0.418 0.250
Tm4 0.418 0.084 0.250
Tm5 0.250 0.250 0.750
Tm6 0.750 0.750 0.250
Tb1 0.667 0.333 0.000
Tb2 0.333 0.667 0.000
Nd1 0.000 0.000 0.000
Y1 0.167 0.833 0.500
Y2 0.500 0.500 0.500
Y3 0.833 0.167 0.500
```

=====

Entry from Alexandria via LeMat-Bulk: a relaxed Tb2Nd2Y4Tm crystal (PBE).

E in eV for the cell shown: -49.137
Total moment in Bohr magnetons per cell: 0.00
Formation enthalpy at 0 K in eV per atom: -0.001
Space-group type: C2/m, No. 12

```
data_Tb2Nd2Y4Tm
_cell_length_a 3.616
_cell_length_b 9.552
_cell_length_c 9.610
_cell_angle_alpha 115.19
_cell_angle_beta 90.00
_cell_angle_gamma 100.91
_space_group_name_H-M_alt 'P 1'
_space_group_IT_number 1
loop_
_space_group_symop_operation_xyz
'x,y,z'
loop_
_atom_site_label
_atom_site_fract_x
_atom_site_fract_y
_atom_site_fract_z
Y1 0.519 0.039 0.334
Y2 0.185 0.371 0.335
Y3 0.481 0.961 0.666
Y4 0.815 0.629 0.665
Nd1 0.335 0.670 0.002
Nd2 0.665 0.330 0.998
Tb1 0.148 0.295 0.664
Tb2 0.852 0.705 0.336
Tm1 0.000 0.000 0.000
```

=====

Entry from Alexandria via LeMat-Bulk: a relaxed TbNd2Y3Tm6 crystal (PBE).

E in eV for the cell shown: -60.088
Total moment in Bohr magnetons per cell: 0.00
Formation enthalpy at 0 K in eV per atom: 0.025
Space-group type: C2/m, No. 12

```
data_TbNd2Y3Tm6
_cell_length_a 6.150
_cell_length_b 6.150
_cell_length_c 11.722
_cell_angle_alpha 95.01
_cell_angle_beta 95.01
_cell_angle_gamma 119.95
_space_group_name_H-M_alt 'P 1'
_space_group_IT_number 1
loop_
_space_group_symop_operation_xyz
'x,y,z'
loop_
_atom_site_label
_atom_site_fract_x
_atom_site_fract_y
_atom_site_fract_z
Tm1 0.085 0.418 0.251
Tm2 0.582 0.915 0.749
Tm3 0.752 0.752 0.252
Tm4 0.248 0.248 0.748
Tm5 0.915 0.582 0.749
Tm6 0.418 0.085 0.251
Y1 0.500 0.500 0.500
Y2 0.167 0.833 0.500
Y3 0.833 0.167 0.500
Tb1 0.000 0.000 0.000
Nd1 0.667 0.333 0.000
Nd2 0.333 0.667 0.000
```

=====

Entry from Alexandria via LeMat-Bulk: a relaxed TbNdY2Tm2 crystal (PBE).

E in eV for the cell shown: -59.283
Total moment in Bohr magnetons per cell: 0.00
Formation enthalpy at 0 K in eV per atom: 0.271
Space-group type: Pnnm, No. 58

```
data_TbNdY2Tm2
_cell_length_a 3.407
_cell_length_b 6.498
_cell_length_c 17.858
_cell_angle_alpha 90.00
_cell_angle_beta 90.00
_cell_angle_gamma 90.00
_space_group_name_H-M_alt 'P 1'
_space_group_IT_number 1
loop_
_space_group_symop_operation_xyz
'x,y,z'
loop_
_atom_site_label
_atom_site_fract_x
_atom_site_fract_y
_atom_site_fract_z
Tm1 0.000 0.718 0.853
Tm2 0.000 0.282 0.147
Tm3 0.500 0.218 0.647
Tm4 0.500 0.782 0.353
Tb1 0.000 0.000 0.500
Tb2 0.500 0.500 0.000
Nd1 0.000 0.000 0.000
Nd2 0.500 0.500 0.500
Y1 0.500 0.280 0.312
Y2 0.000 0.780 0.188
Y3 0.500 0.720 0.688
Y4 0.000 0.220 0.812
```

=====

Entry from Alexandria via LeMat-Bulk: a relaxed Tb3Nd6YTm2 crystal (PBE).

E in eV for the cell shown: -57.760
Total moment in Bohr magnetons per cell: 0.00
Formation enthalpy at 0 K in eV per atom: 0.012
Space-group type: C2/m, No. 12

```
data_Tb3Nd6YTm2
_cell_length_a 6.273
_cell_length_b 6.273
_cell_length_c 11.848
_cell_angle_alpha 95.05
_cell_angle_beta 95.05
_cell_angle_gamma 120.00
_space_group_name_H-M_alt 'P 1'
_space_group_IT_number 1
loop_
_space_group_symop_operation_xyz
'x,y,z'
loop_
_atom_site_label
_atom_site_fract_x
_atom_site_fract_y
_atom_site_fract_z
Y1 0.000 0.000 0.000
Nd1 0.084 0.418 0.249
Nd2 0.418 0.084 0.249
Nd3 0.251 0.251 0.751
Nd4 0.582 0.916 0.751
Nd5 0.749 0.749 0.249
Nd6 0.916 0.582 0.751
Tm1 0.667 0.333 0.000
Tm2 0.333 0.667 0.000
Tb1 0.500 0.500 0.500
Tb2 0.833 0.167 0.500
Tb3 0.167 0.833 0.500
```

=====

Entry from Alexandria via LeMat-Bulk: a relaxed Tb2Nd2Y6Tm crystal (PBE).

E in eV for the cell shown: -60.498
Total moment in Bohr magnetons per cell: 0.00
Formation enthalpy at 0 K in eV per atom: 0.141
Space-group type: Cmmm, No. 65

```
data_Tb2Nd2Y6Tm
_cell_length_a 6.672
_cell_length_b 6.672
_cell_length_c 12.047
_cell_angle_alpha 101.56
_cell_angle_beta 101.56
_cell_angle_gamma 129.64
_space_group_name_H-M_alt 'P 1'
_space_group_IT_number 1
loop_
_space_group_symop_operation_xyz
'x,y,z'
loop_
_atom_site_label
_atom_site_fract_x
_atom_site_fract_y
_atom_site_fract_z
Nd1 0.867 0.133 0.000
Nd2 0.133 0.867 0.000
Y1 0.556 0.861 0.209
Y2 0.298 0.298 0.298
Y3 0.861 0.556 0.209
Y4 0.139 0.444 0.791
Y5 0.444 0.139 0.791
Y6 0.702 0.702 0.702
Tb1 0.707 0.293 0.500
Tb2 0.293 0.707 0.500
Tm1 0.000 0.000 0.500
```

=====

Entry from Alexandria via LeMat-Bulk: a relaxed TbNd5Y2Tm crystal (PBE).

E in eV for the cell shown: -89.250
Total moment in Bohr magnetons per cell: 0.00
Formation enthalpy at 0 K in eV per atom: 0.138
Space-group type: Cmc2_1, No. 36

```
data_TbNd5Y2Tm
_cell_length_a 5.666
_cell_length_b 10.617
_cell_length_c 10.717
_cell_angle_alpha 90.00
_cell_angle_beta 90.00
_cell_angle_gamma 105.48
_space_group_name_H-M_alt 'P 1'
_space_group_IT_number 1
loop_
_space_group_symop_operation_xyz
'x,y,z'
loop_
_atom_site_label
_atom_site_fract_x
_atom_site_fract_y
_atom_site_fract_z
Nd1 0.612 0.225 0.522
Nd2 0.983 0.966 0.518
Nd3 0.297 0.593 0.705
Nd4 0.281 0.562 0.311
Nd5 0.719 0.438 0.811
Nd6 0.483 0.966 0.745
Nd7 0.017 0.034 0.018
Nd8 0.517 0.034 0.245
Nd9 0.703 0.407 0.205
Nd10 0.388 0.775 0.022
Y1 0.112 0.223 0.738
Y2 0.888 0.777 0.238
Y3 0.115 0.230 0.311
Y4 0.885 0.770 0.811
Tm1 0.592 0.185 0.965
Tm2 0.408 0.815 0.465
Tb1 0.200 0.400 0.010
Tb2 0.800 0.600 0.510
```

=====

Entry from Alexandria via LeMat-Bulk: a relaxed Tb2Nd6Y3Tm crystal (PBE).

E in eV for the cell shown: -61.611
Total moment in Bohr magnetons per cell: 0.00
Formation enthalpy at 0 K in eV per atom: 0.010
Space-group type: C2/m, No. 12

```
data_Tb2Nd6Y3Tm
_cell_length_a 6.285
_cell_length_b 6.285
_cell_length_c 11.879
_cell_angle_alpha 95.04
_cell_angle_beta 95.04
_cell_angle_gamma 120.00
_space_group_name_H-M_alt 'P 1'
_space_group_IT_number 1
loop_
_space_group_symop_operation_xyz
'x,y,z'
loop_
_atom_site_label
_atom_site_fract_x
_atom_site_fract_y
_atom_site_fract_z
Tb1 0.333 0.667 0.000
Tb2 0.667 0.333 0.000
Y1 0.500 0.500 0.500
Y2 0.167 0.833 0.500
Y3 0.833 0.167 0.500
Nd1 0.584 0.917 0.751
Nd2 0.917 0.584 0.751
Nd3 0.416 0.083 0.249
Nd4 0.083 0.416 0.249
Nd5 0.750 0.750 0.249
Nd6 0.250 0.250 0.751
Tm1 0.000 0.000 0.000
```

=====

Entry from Alexandria via LeMat-Bulk: a relaxed TbNdYTm crystal (PBE).

Energy above the lowest structure with this stoichiometry in eV per atom: 0.000
E in eV for the cell shown: -19.843
Total moment in Bohr magnetons per cell: 0.00
Formation enthalpy at 0 K in eV per atom: 0.123
Space-group type: Cm, No. 8

```
data_TbNdYTm
_cell_length_a 3.720
_cell_length_b 5.891
_cell_length_c 6.889
_cell_angle_alpha 115.32
_cell_angle_beta 74.39
_cell_angle_gamma 90.00
_space_group_name_H-M_alt 'P 1'
_space_group_IT_number 1
loop_
_space_group_symop_operation_xyz
'x,y,z'
loop_
_atom_site_label
_atom_site_fract_x
_atom_site_fract_y
_atom_site_fract_z
Tm1 0.918 0.646 0.291
Tb1 0.178 0.884 0.769
Y1 0.429 0.136 0.271
Nd1 0.662 0.399 0.798
```